Here is a geometry-optimized Ba2CaCo2O6 structure from the Alexandria database. Energies are from PBE with a Hubbard U.

Cell: 6.9108 6.9108 6.9108 Å, 51.89 51.89 51.89°
Element x y z (fractional)
Ba: 0.2109 0.2109 0.2109
Ba: 0.7891 0.7891 0.7891
Ca: 0.0000 0.0000 0.0000
Co: 0.4194 0.4194 0.4194
Co: 0.5806 0.5806 0.5806
O: 0.2405 0.7469 0.7469
O: 0.2531 0.2531 0.7595
O: 0.2531 0.7595 0.2531
O: 0.7469 0.2405 0.7469
O: 0.7469 0.7469 0.2405
O: 0.7595 0.2531 0.2531

Calculated values
E_tot   -6.12 eV per atom